Record 1
# Ac5LaNdY2, relaxed, DFT PBE-GGA
# **Energy of formation from the pure elements**: 157 meV/atom
# **Spin magnetization**: 0.00 μB/atom
# **E**: -167.02 eV per cell
data_Ac5LaNdY2
_chemical_formula_sum 'Ac20 La4 Nd4 Y8'
_space_group_name_H-M_alt 'C m c 21'
_space_group_IT_number 36
_cell_length_a 6.0277
_cell_length_b 21.8071
_cell_length_c 11.2633
_cell_angle_alpha 90.00
_cell_angle_beta 90.00
_cell_angle_gamma 90.00
loop_
_space_group_symop_operation_xyz
'x,y,z'
'-x,-y,z+1/2'
'-x,y,z'
'x,-y,z+1/2'
'x+1/2,y+1/2,z'
'-x+1/2,-y+1/2,z+1/2'
'-x+1/2,y+1/2,z'
'x+1/2,-y+1/2,z+1/2'
loop_
_atom_site_label
_atom_site_type_symbol
_atom_site_fract_x
_atom_site_fract_y
_atom_site_fract_z
Ac1 Ac 0.0000 0.0122 0.0000
Ac2 Ac 0.0000 0.2757 0.3089
Ac3 Ac 0.0000 0.3000 0.6903
Ac4 Ac 0.0000 0.3766 0.0063
Ac5 Ac 0.0000 0.4855 0.7295
La1 La 0.0000 0.4085 0.4427
Nd1 Nd 0.0000 0.1919 0.0021
Y1 Y 0.0000 0.1116 0.2869
Y2 Y 0.0000 0.1154 0.7305


Record 2
# AcLa2Nd2Y2, relaxed, DFT PBE-GGA
# **Energy of formation from the pure elements**: 30 meV/atom
# **Spin magnetization**: 0.00 μB/atom
# **E**: -72.43 eV per cell
data_AcLa2Nd2Y2
_chemical_formula_sum 'Ac2 La4 Nd4 Y4'
_space_group_name_H-M_alt 'C 1 2/m 1'
_space_group_IT_number 12
_cell_length_a 11.7775
_cell_length_b 5.2901
_cell_length_c 8.2283
_cell_angle_alpha 90.00
_cell_angle_beta 98.28
_cell_angle_gamma 90.00
loop_
_space_group_symop_operation_xyz
'x,y,z'
'-x,-y,-z'
'-x,y,-z'
'x,-y,z'
'x+1/2,y+1/2,z'
'-x+1/2,-y+1/2,-z'
'-x+1/2,y+1/2,-z'
'x+1/2,-y+1/2,z'
loop_
_atom_site_label
_atom_site_type_symbol
_atom_site_fract_x
_atom_site_fract_y
_atom_site_fract_z
Ac1 Ac 0.0000 0.0000 0.0000
La1 La 0.2151 0.5000 0.1480
Nd1 Nd 0.0738 0.5000 0.7072
Y1 Y 0.1423 0.0000 0.4327


Record 3
# AcLaNd5Y2, relaxed, DFT PBE-GGA
# **Energy of formation from the pure elements**: 134 meV/atom
# **Spin magnetization**: 0.00 μB/atom
# **E**: -178.38 eV per cell
data_AcLaNd5Y2
_chemical_formula_sum 'Ac4 La4 Nd20 Y8'
_space_group_name_H-M_alt 'C m c 21'
_space_group_IT_number 36
_cell_length_a 5.6951
_cell_length_b 24.3267
_cell_length_c 9.5966
_cell_angle_alpha 90.00
_cell_angle_beta 90.00
_cell_angle_gamma 90.00
loop_
_space_group_symop_operation_xyz
'x,y,z'
'-x,-y,z+1/2'
'-x,y,z'
'x,-y,z+1/2'
'x+1/2,y+1/2,z'
'-x+1/2,-y+1/2,z+1/2'
'-x+1/2,y+1/2,z'
'x+1/2,-y+1/2,z+1/2'
loop_
_atom_site_label
_atom_site_type_symbol
_atom_site_fract_x
_atom_site_fract_y
_atom_site_fract_z
Ac1 Ac 0.0000 0.1030 0.0000
La1 La 0.0000 0.2655 0.6101
Nd1 Nd 0.0000 0.0244 0.3241
Nd2 Nd 0.0000 0.1025 0.6056
Nd3 Nd 0.0000 0.1887 0.3044
Nd4 Nd 0.0000 0.2408 0.9312
Nd5 Nd 0.0000 0.4943 0.1022
Y1 Y 0.0000 0.3305 0.2442
Y2 Y 0.0000 0.3881 0.8626


Record 4
# AcLa2Nd3Y6, relaxed, DFT PBE-GGA
# **Energy of formation from the pure elements**: 15 meV/atom
# **Spin magnetization**: 0.00 μB/atom
# **E**: -133.75 eV per cell
data_AcLa2Nd3Y6
_chemical_formula_sum 'Ac2 La4 Nd6 Y12'
_space_group_name_H-M_alt 'C 1 2/m 1'
_space_group_IT_number 12
_cell_length_a 6.3711
_cell_length_b 11.0353
_cell_length_c 11.9697
_cell_angle_alpha 90.00
_cell_angle_beta 100.21
_cell_angle_gamma 90.00
loop_
_space_group_symop_operation_xyz
'x,y,z'
'-x,-y,-z'
'-x,y,-z'
'x,-y,z'
'x+1/2,y+1/2,z'
'-x+1/2,-y+1/2,-z'
'-x+1/2,y+1/2,-z'
'x+1/2,-y+1/2,z'
loop_
_atom_site_label
_atom_site_type_symbol
_atom_site_fract_x
_atom_site_fract_y
_atom_site_fract_z
Ac1 Ac 0.0000 0.0000 0.0000
La1 La 0.0000 0.3332 0.0000
Nd1 Nd 0.0000 0.1668 0.5000
Nd2 Nd 0.0000 0.5000 0.5000
Y1 Y 0.2476 0.3326 0.7464
Y2 Y 0.2497 0.0000 0.7464


Record 5
# Ac3La3NdZn2, relaxed, DFT PBE-GGA
# **Energy of formation from the pure elements**: 1 meV/atom
# **Spin magnetization**: 0.00 μB/atom
# **E**: -34.41 eV per cell
data_Ac3La3NdZn2
_chemical_formula_sum 'Ac3 La3 Nd1 Zn2'
_space_group_name_H-M_alt 'P -6 2 m'
_space_group_IT_number 189
_space_group_name_Hall 'P -6 -2'
_cell_length_a 9.6030
_cell_length_b 9.6030
_cell_length_c 3.8879
_cell_angle_alpha 90.00
_cell_angle_beta 90.00
_cell_angle_gamma 120.00
loop_
_atom_site_label
_atom_site_type_symbol
_atom_site_fract_x
_atom_site_fract_y
_atom_site_fract_z
Ac1 Ac 0.0000 0.6874 0.0000
La1 La 0.0000 0.3777 0.5000
Nd1 Nd 0.0000 0.0000 0.5000
Zn1 Zn 0.3333 0.6667 0.0000


Record 6
# AcLaNdZn, relaxed, DFT PBE-GGA
# **Energy of formation from the pure elements**: 114 meV/atom
# **Spin magnetization**: 0.00 μB/atom
# **E**: -58.49 eV per cell
data_AcLaNdZn
_chemical_formula_sum 'Ac4 La4 Nd4 Zn4'
_space_group_name_H-M_alt 'F -4 3 m'
_space_group_IT_number 216
_space_group_name_Hall 'F -4 2 3'
_cell_length_a 8.0412
_cell_length_b 8.0412
_cell_length_c 8.0412
_cell_angle_alpha 90.00
_cell_angle_beta 90.00
_cell_angle_gamma 90.00
loop_
_atom_site_label
_atom_site_type_symbol
_atom_site_fract_x
_atom_site_fract_y
_atom_site_fract_z
Ac1 Ac 0.0000 0.0000 0.0000
La1 La 0.2500 0.2500 0.7500
Nd1 Nd 0.2500 0.2500 0.2500
Zn1 Zn 0.0000 0.0000 0.5000


Record 7
# AcLaNdZn, relaxed, DFT PBE-GGA
# **Energy of formation from the pure elements**: -143 meV/atom
# **Spin magnetization**: 0.00 μB/atom
# **E**: -15.65 eV per cell
data_AcLaNdZn
_chemical_formula_sum 'Ac1 La1 Nd1 Zn1'
_space_group_name_H-M_alt 'P 4 m m'
_space_group_IT_number 99
_cell_length_a 3.7943
_cell_length_b 3.7943
_cell_length_c 9.0901
_cell_angle_alpha 90.00
_cell_angle_beta 90.00
_cell_angle_gamma 90.00
loop_
_space_group_symop_operation_xyz
'x,y,z'
'-y,x,z'
'-x,-y,z'
'y,-x,z'
'-x,y,z'
'y,x,z'
'x,-y,z'
'-y,-x,z'
loop_
_atom_site_label
_atom_site_type_symbol
_atom_site_fract_x
_atom_site_fract_y
_atom_site_fract_z
Ac1 Ac 0.0000 0.0000 0.0000
La1 La 0.5000 0.5000 0.6949
Nd1 Nd 0.5000 0.5000 0.2979
Zn1 Zn 0.0000 0.0000 0.4880


Record 8
# AcLa2Ni6, relaxed, DFT PBE-GGA
# **Energy of formation from the pure elements**: -304 meV/atom
# **Spin magnetization**: 0.06 μB/atom
# **E**: -51.38 eV per cell
data_AcLa2Ni6
_chemical_formula_sum 'Ac1 La2 Ni6'
_space_group_name_H-M_alt 'P 6/m m m'
_space_group_IT_number 191
_space_group_name_Hall '-P 6 2'
_cell_length_a 7.0949
_cell_length_b 7.0949
_cell_length_c 4.1040
_cell_angle_alpha 90.00
_cell_angle_beta 90.00
_cell_angle_gamma 120.00
loop_
_atom_site_label
_atom_site_type_symbol
_atom_site_fract_x
_atom_site_fract_y
_atom_site_fract_z
Ac1 Ac 0.0000 0.0000 0.0000
La1 La 0.3333 0.6667 0.0000
Ni1 Ni 0.0000 0.3350 0.5000


Record 9
# AcLa4Ni2, relaxed, DFT PBE-GGA
# **Energy of formation from the pure elements**: -156 meV/atom
# **Spin magnetization**: 0.00 μB/atom
# **E**: -72.95 eV per cell
data_AcLa4Ni2
_chemical_formula_sum 'Ac2 La8 Ni4'
_space_group_name_H-M_alt 'P 1 21/m 1'
_space_group_IT_number 11
_cell_length_a 7.2192
_cell_length_b 7.0791
_cell_length_c 9.2059
_cell_angle_alpha 90.00
_cell_angle_beta 112.37
_cell_angle_gamma 90.00
loop_
_space_group_symop_operation_xyz
'x,y,z'
'-x,-y,-z'
'-x,y+1/2,-z'
'x,-y+1/2,z'
loop_
_atom_site_label
_atom_site_type_symbol
_atom_site_fract_x
_atom_site_fract_y
_atom_site_fract_z
Ac1 Ac 0.2454 0.2500 0.1990
La1 La 0.0175 0.2500 0.7842
La2 La 0.2807 0.0034 0.5660
La3 La 0.3222 0.7500 0.9959
Ni1 Ni 0.0335 0.7500 0.6521
Ni2 Ni 0.3745 0.7500 0.3395


Record 10
# AcLa2Ni, relaxed, DFT PBE-GGA
# **Energy of formation from the pure elements**: 18 meV/atom
# **Spin magnetization**: 0.01 μB/atom
# **E**: -59.02 eV per cell
data_AcLa2Ni
_chemical_formula_sum 'Ac3 La6 Ni3'
_space_group_name_H-M_alt 'R -3 m'
_space_group_IT_number 166
_space_group_name_Hall '-R 3 2"'
_cell_length_a 3.9184
_cell_length_b 3.9184
_cell_length_c 32.5072
_cell_angle_alpha 90.00
_cell_angle_beta 90.00
_cell_angle_gamma 120.00
loop_
_atom_site_label
_atom_site_type_symbol
_atom_site_fract_x
_atom_site_fract_y
_atom_site_fract_z
Ac1 Ac 0.0000 0.0000 0.0000
La1 La 0.0000 0.0000 0.1155
Ni1 Ni 0.0000 0.0000 0.5000


Record 11
# Ac3La2Ni2, relaxed, DFT PBE-GGA
# **Energy of formation from the pure elements**: -151 meV/atom
# **Spin magnetization**: 0.00 μB/atom
# **E**: -34.80 eV per cell
data_Ac3La2Ni2
_chemical_formula_sum 'Ac3 La2 Ni2'
_space_group_name_H-M_alt 'P -1'
_space_group_IT_number 2
_cell_length_a 3.9587
_cell_length_b 6.7093
_cell_length_c 9.5160
_cell_angle_alpha 109.45
_cell_angle_beta 90.08
_cell_angle_gamma 107.11
loop_
_space_group_symop_operation_xyz
'x,y,z'
'-x,-y,-z'
loop_
_atom_site_label
_atom_site_type_symbol
_atom_site_fract_x
_atom_site_fract_y
_atom_site_fract_z
Ac1 Ac 0.0000 0.0000 0.0000
Ac2 Ac 0.1187 0.2361 0.4204
La1 La 0.3219 0.6421 0.1950
Ni1 Ni 0.3361 0.6725 0.7986


Record 12
# Ac2LaNi2, relaxed, DFT PBE-GGA
# **Energy of formation from the pure elements**: -194 meV/atom
# **Spin magnetization**: 0.00 μB/atom
# **E**: -51.36 eV per cell
data_Ac2LaNi2
_chemical_formula_sum 'Ac4 La2 Ni4'
_space_group_name_H-M_alt 'P 1 21/m 1'
_space_group_IT_number 11
_cell_length_a 6.0622
_cell_length_b 4.1999
_cell_length_c 11.6806
_cell_angle_alpha 90.00
_cell_angle_beta 96.72
_cell_angle_gamma 90.00
loop_
_space_group_symop_operation_xyz
'x,y,z'
'-x,-y,-z'
'-x,y+1/2,-z'
'x,-y+1/2,z'
loop_
_atom_site_label
_atom_site_type_symbol
_atom_site_fract_x
_atom_site_fract_y
_atom_site_fract_z
Ac1 Ac 0.1729 0.2500 0.1129
Ac2 Ac 0.2385 0.2500 0.4462
La1 La 0.3119 0.2500 0.7871
Ni1 Ni 0.2771 0.7500 0.6228
Ni2 Ni 0.3803 0.7500 0.9789